(1)
VASP calculation (GGA-PBE) on a relaxed Ti2AuC crystal.

Properties
- N(E_F) (states/eV/f.u.) = 5.1
- E_form (eV/atom) = -0.124
- SG = I-42d, No. 122
- volume (A^3/atom) = 15.8

a b c (Å): 6.1050 6.1050 5.4888
angles (deg): 56.21 56.21 90.00
Atoms (fractional coordinates):
Ti: 0.5417 0.1250 0.2500
Ti: 0.8750 0.7917 0.7500
Ti: 0.3750 0.4583 0.7500
Ti: 0.2083 0.6250 0.2500
Au: 0.7500 0.2500 0.5000
Au: 0.0000 0.0000 0.0000
C: 0.5000 0.5000 0.0000
C: 0.2500 0.7500 0.5000

---

(2)
VASP calculation (GGA-PBE) on a relaxed Ti5AuC crystal.

Properties
- N(E_F) (states/eV/f.u.) = 8.9
- E_form (eV/atom) = -0.267
- SG = C2/c, No. 15
- volume (A^3/atom) = 15.5

a b c (Å): 5.5340 5.5340 9.0095
angles (deg): 67.15 67.15 62.01
Each line ends with the local moment (μB).
Atoms (fractional coordinates):
Ti: 0.6008 0.0015 0.6082  0.22
Ti: 0.8497 0.4377 0.4385  0.34
Ti: 0.9906 0.0094 0.2500  -0.04
Ti: 0.5623 0.1503 0.0615  0.34
Ti: 0.0094 0.9906 0.7500  -0.04
Ti: 0.3992 0.9985 0.3918  0.22
Ti: 0.9985 0.3992 0.8918  0.22
Ti: 0.1503 0.5623 0.5615  0.34
Ti: 0.0015 0.6008 0.1082  0.22
Ti: 0.4377 0.8497 0.9385  0.34
C: 0.0000 0.0000 0.0000  -0.01
C: 0.0000 0.0000 0.5000  -0.01
Au: 0.4907 0.5093 0.2500  0.01
Au: 0.5093 0.4907 0.7500  0.01

---

(3)
VASP calculation (GGA-PBE) on a relaxed Ti2Au2C crystal.

Properties
- N(E_F) (states/eV/f.u.) = 2.2
- E_form (eV/atom) = -0.554
- SG = R-3m, No. 166
- volume (A^3/atom) = 15.0

a b c (Å): 3.0875 3.0875 9.2547
angles (deg): 80.40 80.40 60.00
Atoms (fractional coordinates):
C: 0.0000 0.0000 0.0000
Ti: 0.6249 0.6249 0.1254
Ti: 0.3751 0.3751 0.8746
Au: 0.8775 0.8775 0.3675
Au: 0.1225 0.1225 0.6325

---

(4)
VASP calculation (GGA-PBE) on a relaxed Ti6Au3C crystal.

Properties
- N(E_F) (states/eV/f.u.) = 11.6
- E_form (eV/atom) = -0.263
- SG = C2/m, No. 12
- volume (A^3/atom) = 17.0

a b c (Å): 6.6229 5.5751 5.5751
angles (deg): 61.93 72.78 72.78
Atoms (fractional coordinates):
Ti: 0.3687 0.6393 0.1535
Ti: 0.3687 0.1535 0.6393
Ti: 0.6313 0.8465 0.3607
Ti: 0.6313 0.3607 0.8465
Ti: 0.8095 0.3235 0.3235
Ti: 0.1905 0.6765 0.6765
Au: 0.0000 0.0000 0.0000
Au: 0.7501 0.8177 0.8177
Au: 0.2499 0.1823 0.1823
C: 0.5000 0.5000 0.5000

---

> The lowest E_form belongs to which entry?

Ti2Au2C

---

> What is the formula in the second record?

Ti5AuC